DFT (GGA-PBE) results for an optimized crystal structure of SrCoSi2Ir.

Computed properties:
Total magnetic moment (μB/cell): 0.0
Uncorrected formation energy (eV/atom): -0.694

Cell lengths 4.0587, 4.0587, 6.0127 Å; angles 109.72, 109.72, 90.00 degrees
Last column: nearest neighbours and their distance in Å.
Sites, in units of the cell vectors:
Sr: 0.0000 0.0000 0.0000  8 Si 3.21, 4 Ir 3.33, 4 Co 3.33
Co: 0.7500 0.2500 0.5000  4 Si 2.36
Si: 0.6360 0.6360 0.2721  2 Co 2.36, 2 Ir 2.36
Si: 0.3640 0.3640 0.7279  2 Ir 2.36, 2 Co 2.36
Ir: 0.2500 0.7500 0.5000  4 Si 2.36



DFT (GGA-PBE) results for an optimized crystal structure of AsWSe.

Computed properties:
Total magnetic moment (μB/cell): 1.6
Uncorrected formation energy (eV/atom): 0.356
ΔE to the lowest computed polymorph (eV/atom): 0.4773

Cell lengths 4.4100, 4.4100, 4.4100 Å; angles 60.00, 60.00, 60.00 degrees
Last column: nearest neighbours and their distance in Å.
Sites, in units of the cell vectors:
As: 0.0000 0.0000 0.0000  4 W 2.70
Se: 0.5000 0.5000 0.5000  4 W 2.70
W: 0.7500 0.7500 0.7500  4 As 2.70, 4 Se 2.70



DFT (GGA-PBE) results for an optimized crystal structure of MnAlCu2.

Computed properties:
Total magnetic moment (μB/cell): 5.8
Energy of formation from the pure elements (eV per formula unit): 0.988

Cell lengths 3.5767, 3.5767, 9.2195 Å; angles 78.82, 78.82, 90.00 degrees
Last column: nearest neighbours and their distance in Å.
Sites, in units of the cell vectors:
Mn: 0.0000 0.0000 0.0000  4 Al 2.53, 4 Cu 2.55
Mn: 0.7500 0.2500 0.5000  4 Al 2.53, 4 Cu 2.55
Al: 0.5000 0.5000 0.0000  4 Mn 2.53, 4 Cu 2.55
Al: 0.2500 0.7500 0.5000  4 Mn 2.53, 4 Cu 2.55
Cu: 0.6227 0.1250 0.2500  4 Cu 2.52-2.54, 2 Al 2.55, 2 Mn 2.55
Cu: 0.1273 0.6250 0.2500  4 Cu 2.52-2.54, 2 Al 2.55, 2 Mn 2.55
Cu: 0.3750 0.3773 0.7500  4 Cu 2.52-2.54, 2 Al 2.55, 2 Mn 2.55
Cu: 0.8750 0.8727 0.7500  4 Cu 2.52-2.54, 2 Al 2.55, 2 Mn 2.55



DFT (GGA-PBE) results for an optimized crystal structure of TiP2Cl8.

Computed properties:
Total magnetic moment (μB/cell): 0.5
Uncorrected formation energy (eV/atom): -0.792

Cell lengths 9.3457, 7.3808, 7.3808 Å; angles 90.17, 63.42, 63.42 degrees
Last column: nearest neighbours and their distance in Å.
Sites, in units of the cell vectors:
Ti: 0.0000 0.0000 0.0000  6 Cl 2.28-2.42
P: 0.5861 0.0354 0.0354  1 Cl 2.01, 1 P 2.15
P: 0.4139 0.9646 0.9646  1 Cl 2.01, 1 P 2.15
Cl: 0.8078 0.1586 0.8463  1 Ti 2.42, 1 P 2.48
Cl: 0.1922 0.1537 0.8414  1 Ti 2.42, 1 P 2.48
Cl: 0.8031 0.2822 0.2822  1 Ti 2.28
Cl: 0.1969 0.7178 0.7178  1 Ti 2.28
Cl: 0.8078 0.8463 0.1586  1 Ti 2.42, 1 P 2.48
Cl: 0.1922 0.8414 0.1537  1 Ti 2.42, 1 P 2.48
Cl: 0.3920 0.2839 0.2839  1 P 2.01
Cl: 0.6080 0.7161 0.7161  1 P 2.01



DFT (GGA-PBE) results for an optimized crystal structure of SrPm3Pb2.

Computed properties:
Total magnetic moment (μB/cell): 0.0
Energy of formation from the pure elements (eV per formula unit): -2.024

Cell lengths 4.8300, 10.8276, 9.8813 Å; angles 123.81, 90.00, 102.89 degrees
Last column: nearest neighbours and their distance in Å.
Sites, in units of the cell vectors:
Sr: 0.8882 0.7765 0.9045  6 Pb 3.44-3.63, 1 Pm 3.70
Sr: 0.1118 0.2235 0.0955  6 Pb 3.44-3.63, 1 Pm 3.70
Pm: 0.3046 0.6092 0.4924  3 Pb 3.29-3.37, 5 Pm 3.40-3.68
Pm: 0.9447 0.8894 0.5722  3 Pb 3.18-3.42, 3 Pm 3.36-3.54
Pm: 0.6460 0.2920 0.8090  4 Pb 3.28-3.38
Pm: 0.3540 0.7080 0.1910  4 Pb 3.28-3.38
Pm: 0.0553 0.1106 0.4278  3 Pb 3.18-3.42, 3 Pm 3.36-3.54
Pm: 0.6954 0.3908 0.5076  3 Pb 3.29-3.37, 5 Pm 3.40-3.68
Pb: 0.4903 0.9807 0.8210  4 Pm 3.18-3.37, 1 Pb 3.32, 2 Sr 3.44
Pb: 0.5097 0.0193 0.1790  4 Pm 3.18-3.37, 1 Pb 3.32, 2 Sr 3.44
Pb: 0.7594 0.5188 0.2262  6 Pm 3.28-3.42, 2 Sr 3.55
Pb: 0.2406 0.4812 0.7738  6 Pm 3.28-3.42, 2 Sr 3.55



DFT (GGA-PBE) results for an optimized crystal structure of PuPa2N5.

Computed properties:
Total magnetic moment (μB/cell): 12.0
Uncorrected formation energy (eV/atom): -1.303

Cell lengths 6.2512, 6.9389, 9.8813 Å; angles 90.00, 90.00, 90.00 degrees
Last column: nearest neighbours and their distance in Å.
Sites, in units of the cell vectors:
Pu: 0.4840 0.2500 0.5013  6 N 2.21-2.29
Pu: 0.5160 0.7500 0.4987  6 N 2.21-2.29
Pu: 0.9840 0.7500 0.9987  6 N 2.21-2.29
Pu: 0.0160 0.2500 0.0013  6 N 2.21-2.29
Pa: 0.5029 0.5017 0.8256  6 N 2.31-2.50
Pa: 0.4971 0.4983 0.1744  6 N 2.31-2.50
Pa: 0.0029 0.4983 0.6744  6 N 2.31-2.50
Pa: 0.4971 0.0017 0.1744  6 N 2.31-2.50
Pa: 0.9971 0.5017 0.3256  6 N 2.31-2.50
Pa: 0.5029 0.9983 0.8256  6 N 2.31-2.50
Pa: 0.9971 0.9983 0.3256  6 N 2.31-2.50
Pa: 0.0029 0.0017 0.6744  6 N 2.31-2.50
N: 0.0138 0.2500 0.5060  4 Pa 2.40-2.50
N: 0.9862 0.7500 0.4940  4 Pa 2.40-2.50
N: 0.5138 0.7500 0.9940  4 Pa 2.40-2.50
N: 0.4862 0.2500 0.0060  4 Pa 2.40-2.50
N: 0.3549 0.9913 0.6031  2 Pu 2.21, 2 Pa 2.31-2.39
N: 0.6451 0.0087 0.3969  2 Pu 2.21, 2 Pa 2.31-2.39
N: 0.8549 0.0087 0.8969  2 Pu 2.21, 2 Pa 2.31-2.39
N: 0.6451 0.4913 0.3969  2 Pu 2.21, 2 Pa 2.31-2.39
N: 0.1451 0.9913 0.1031  2 Pu 2.21, 2 Pa 2.31-2.39
N: 0.3549 0.5087 0.6031  2 Pu 2.21, 2 Pa 2.31-2.39
N: 0.1451 0.5087 0.1031  2 Pu 2.21, 2 Pa 2.31-2.39
N: 0.8549 0.4913 0.8969  2 Pu 2.21, 2 Pa 2.31-2.39
N: 0.1698 0.2500 0.7919  1 Pu 2.28, 2 Pa 2.32
N: 0.8302 0.7500 0.2081  1 Pu 2.28, 2 Pa 2.32
N: 0.6698 0.7500 0.7081  1 Pu 2.28, 2 Pa 2.32
N: 0.3302 0.2500 0.2919  1 Pu 2.28, 2 Pa 2.32
N: 0.6574 0.2500 0.7053  1 Pu 2.29, 2 Pa 2.32
N: 0.3426 0.7500 0.2947  1 Pu 2.29, 2 Pa 2.32
N: 0.1574 0.7500 0.7947  1 Pu 2.29, 2 Pa 2.32
N: 0.8426 0.2500 0.2053  1 Pu 2.29, 2 Pa 2.32



Number 1: mass density 7.54 Mg/m³, E_tot -6.393 eV per atom, calculated volume 17.41 A^3/atom. Number 2: mass density 9.25 Mg/m³, E_tot -6.673 eV per atom, calculated volume 20.22 A^3/atom. Number 3: mass density 6.12 Mg/m³, E_tot -5.029 eV per atom, calculated volume 14.18 A^3/atom. Number 4: mass density 1.66 Mg/m³, E_tot -3.837 eV per atom, calculated volume 35.80 A^3/atom. Number 5: mass density 7.52 Mg/m³, E_tot -4.229 eV per atom, calculated volume 34.47 A^3/atom. Number 6: mass density 12.03 Mg/m³, E_tot -10.672 eV per atom, calculated volume 13.39 A^3/atom.